## SbPb (meta-GGA SCAN)

Data for a crystal of SbPb relaxed with PBEsol.

Computed properties:
**E_form (uncorrected)**: 0.097 eV per atom
**Raw total energy**: -56.424 eV per atom

Cell: 3.9280 5.3667 10.7489 Å, 90.00 90.00 90.00°
Last column: nearest neighbours and their distance in Å.
Space group Imma (No. 74)
One atom of each set of equivalent atoms:
Sb 0.0000 0.2500 0.1431  2 Sb 3.02, 6 Pb 3.34-3.37
Pb 0.0000 0.2500 0.6116  6 Sb 3.34-3.37, 4 Pb 3.56-3.60